No. 1
The following is a PBE-GGA calculation of crystalline HgOs2Ru at its relaxed geometry, from the Alexandria database.

```
HgOs2Ru
1.0
2.7670 0.0000 0.0000
0.0000 4.7870 0.0000
-0.1085 0.0000 4.9045
Hg Os Ru
1 2 1
direct
0.0000 0.0000 0.0000 Hg
0.2249 0.5000 0.2754 Os
0.7751 0.5000 0.7246 Os
0.5000 0.0000 0.5000 Ru
```

Summary:
SG ... No. 10
DFT total energy ... -7.09 eV per atom
Magnetization ... 2.0 μB per cell

***

No. 2
The following is a PBE-GGA calculation of crystalline BaN2Cl at its relaxed geometry, from the Alexandria database.

```
BaN2Cl
1.0
5.9451 0.0000 0.0000
0.0000 5.8572 0.0000
-2.2670 0.0000 5.9556
Ba N Cl
2 4 2
direct
0.1557 0.2500 0.3587 Ba
0.8443 0.7500 0.6413 Ba
0.3402 0.6502 0.6074 N
0.3402 0.8498 0.6074 N
0.6598 0.1502 0.3926 N
0.6598 0.3498 0.3926 N
0.0991 0.2500 0.8562 Cl
0.9009 0.7500 0.1438 Cl
```

Summary:
SG ... No. 11
DFT total energy ... -6.14 eV per atom
ΔE to the lowest computed polymorph ... 0 meV per atom
Magnetization ... 0.0 μB per cell

***

No. 3
The following is a PBE-GGA calculation of crystalline Ta3Ni5H12 at its relaxed geometry, from the Alexandria database.

```
Ta3Ni5H12
1.0
-5.2840 5.2840 5.2840
5.2840 -5.2840 5.2840
5.2840 5.2840 -5.2840
Ta Ni H
12 20 48
direct
0.1250 0.2500 0.3750 Ta
0.1250 0.3750 0.7500 Ta
0.2500 0.3750 0.1250 Ta
0.2500 0.8750 0.6250 Ta
0.3750 0.1250 0.2500 Ta
0.3750 0.7500 0.1250 Ta
0.6250 0.2500 0.8750 Ta
0.6250 0.8750 0.7500 Ta
0.7500 0.1250 0.3750 Ta
0.7500 0.6250 0.8750 Ta
0.8750 0.6250 0.2500 Ta
0.8750 0.7500 0.6250 Ta
0.0000 0.0000 0.0000 Ni
0.0000 0.0000 0.5000 Ni
0.0000 0.5000 0.0000 Ni
0.0000 0.5000 0.5000 Ni
0.1250 0.7500 0.8750 Ni
0.1250 0.8750 0.2500 Ni
0.2500 0.1250 0.8750 Ni
0.2500 0.6250 0.3750 Ni
0.3750 0.2500 0.6250 Ni
0.3750 0.6250 0.7500 Ni
0.5000 0.0000 0.0000 Ni
0.5000 0.0000 0.5000 Ni
0.5000 0.5000 0.0000 Ni
0.5000 0.5000 0.5000 Ni
0.6250 0.3750 0.2500 Ni
0.6250 0.7500 0.3750 Ni
0.7500 0.3750 0.6250 Ni
0.7500 0.8750 0.1250 Ni
0.8750 0.1250 0.7500 Ni
0.8750 0.2500 0.1250 Ni
0.0402 0.2129 0.1283 H
0.0402 0.3273 0.9119 H
0.0846 0.7129 0.6727 H
0.0846 0.8717 0.4119 H
0.0881 0.6283 0.4154 H
0.0881 0.9598 0.6727 H
0.1283 0.0402 0.2129 H
0.1283 0.5881 0.9154 H
0.1727 0.2129 0.5846 H
0.1727 0.4598 0.5881 H
0.2129 0.1283 0.0402 H
0.2129 0.5846 0.1727 H
0.2871 0.3273 0.9154 H
0.2871 0.4598 0.3717 H
0.3273 0.9119 0.0402 H
0.3273 0.9154 0.2871 H
0.3717 0.2871 0.4598 H
0.3717 0.5846 0.9119 H
0.4119 0.0846 0.8717 H
0.4119 0.8273 0.5402 H
0.4154 0.0881 0.6283 H
0.4154 0.8273 0.7871 H
0.4598 0.3717 0.2871 H
0.4598 0.5881 0.1727 H
0.5402 0.4119 0.8273 H
0.5402 0.6283 0.7129 H
0.5846 0.1727 0.2129 H
0.5846 0.9119 0.3717 H
0.5881 0.1727 0.4598 H
0.5881 0.9154 0.1283 H
0.6283 0.4154 0.0881 H
0.6283 0.7129 0.5402 H
0.6727 0.0846 0.7129 H
0.6727 0.0881 0.9598 H
0.7129 0.5402 0.6283 H
0.7129 0.6727 0.0846 H
0.7871 0.4154 0.8273 H
0.7871 0.8717 0.9598 H
0.8273 0.5402 0.4119 H
0.8273 0.7871 0.4154 H
0.8717 0.4119 0.0846 H
0.8717 0.9598 0.7871 H
0.9119 0.0402 0.3273 H
0.9119 0.3717 0.5846 H
0.9154 0.1283 0.5881 H
0.9154 0.2871 0.3273 H
0.9598 0.6727 0.0881 H
0.9598 0.7871 0.8717 H
```

Summary:
SG ... No. 230
DFT total energy ... -5.25 eV per atom
Magnetization ... 0.0 μB per cell